Below is a relaxed structure of NdF4, with properties calculated at the GGA-PBE level.

E	-5.54	eV per atom
V	13.0	Å³/atom

Cell and atoms, written as CIF:
```
data_NdF4
_symmetry_space_group_name_H-M 'P -1'
_symmetry_Int_Tables_number 2
_symmetry_space_group_name_Hall '-P 1'
_cell_length_a 4.4585
_cell_length_b 5.2904
_cell_length_c 6.0558
_cell_angle_alpha 98.62
_cell_angle_beta 102.66
_cell_angle_gamma 106.95
loop_
_atom_site_label
_atom_site_fract_x
_atom_site_fract_y
_atom_site_fract_z
_atom_site_occupancy
Nd1 0.2481 0.3305 0.1848 1
F1 0.0718 0.0768 0.8091 1
F2 0.2374 0.4508 0.5667 1
F3 0.2947 0.6713 0.9803 1
F4 0.4117 0.8524 0.5167 1
```